{"formula": "Nd6Co2I3N", "functional": "PBE-GGA", "state": "optimized geometry", "total_energy_ev_per_atom": -5.421, "dos_ef_per_ev_fu": 0.1, "lattice_angstrom": [[3.463, -5.993, 0.000], [3.463, 5.993, 0.000], [-2.290, 0.000, 8.009]], "species": ["Nd", "Nd", "Nd", "Nd", "Nd", "Nd", "Co", "Co", "I", "I", "I", "N"], "frac_coords": [[0.058, 0.376, 0.175], [0.260, 0.260, 0.824], [0.376, 0.058, 0.175], [0.624, 0.942, 0.825], [0.740, 0.740, 0.176], [0.942, 0.624, 0.825], [0.333, 0.667, 0.000], [0.667, 0.333, 0.000], [0.169, 0.831, 0.500], [0.500, 0.500, 0.500], [0.831, 0.169, 0.500], [0.000, 0.000, 0.000]]}